Density functional theory data (GGA-PBE) for Ti2AgPb after structural relaxation.

Cell lengths 3.618, 3.618, 5.872 Å; angles 90.00, 90.00, 90.00 degrees
Fractional coordinates of all 4 atoms:
Pb  0.500  0.500  0.000
Ag  0.500  0.500  0.500
Ti  0.000  0.000  0.743
Ti  0.000  0.000  0.257

Output
**Space-group type**: No. 123

***

Density functional theory data (GGA-PBE) for TiAgPb2 after structural relaxation.

Cell lengths 5.091, 5.091, 5.091 Å; angles 60.00, 60.00, 60.00 degrees
Fractional coordinates of all 4 atoms:
Pb  0.250  0.250  0.250
Pb  0.750  0.750  0.750
Ag  0.500  0.500  0.500
Ti  0.000  0.000  0.000

Output
**Space-group type**: No. 225
**Polymorph energy (0 for the lowest one)**: 151 meV per atom

***

no.,DFT total energy (Ry per atom),magnetic moment (μB/atom)
1,-0.3996,0.14
2,-0.3123,0.42